V2ZnSb2: optimized geometry, PBE-GGA.

POSCAR file:
```
V2ZnSb2
1.0
7.679 0.000 0.000
0.000 7.679 0.000
0.000 0.000 3.246
V Zn Sb
4 2 4
direct
0.138 0.362 0.000
0.362 0.862 0.000
0.638 0.138 0.000
0.862 0.638 0.000
0.000 0.000 0.500
0.500 0.500 0.500
0.156 0.656 0.500
0.344 0.156 0.500
0.656 0.844 0.500
0.844 0.344 0.500
```

Results
- D(E_F): 1.0251 states/eV/atom
- Volume: 19.14 Å³ per atom
- Space group: P4/mbm
- Crystal system: tetragonal
- Formation energy from raw total energies: 6.25 kcal/mol of atoms
- Total magnetic moment: 5.9 μB per cell